No. 1
The following is a DFT calculation (PBE) of a geometry-optimized SrTcTe2I structure.

Cell: 6.1885 6.1885 4.9631 Å, 90.00 90.00 90.00°
Space group P4/mmm (No. 123)
One atom of each set of equivalent atoms:
Sr (0.0000, 0.0000, 0.0000) (multiplicity 1)
Tc (0.5000, 0.5000, 0.0000) (multiplicity 1)
Te (0.0000, 0.5000, 0.5000) (multiplicity 2)
I (0.5000, 0.5000, 0.5000) (multiplicity 1)

Results
- Magnetization: 3.22 μB per formula unit
- E above lowest polymorph: 0.834 eV per atom
- Calculated total energy: -3.4179 eV per atom
- E_form (uncorrected): 0.56 eV/atom

No. 2
The following is a DFT calculation (PBE) of a geometry-optimized RbAlPdF6 structure.

Cell: 5.4848 5.4848 5.9668 Å, 90.00 90.00 120.00°
Space group P312 (No. 149)
One atom of each set of equivalent atoms:
Rb (0.0000, 0.0000, 0.0000) (multiplicity 1)
Al (0.6667, 0.3333, 0.5000) (multiplicity 1)
Pd (0.3333, 0.6667, 0.5000) (multiplicity 1)
F (0.3993, 0.0504, 0.6766) (multiplicity 6)

Results
- Magnetization: 1.99 μB per formula unit
- E above lowest polymorph: 0.012 eV per atom
- Calculated total energy: -4.9503 eV per atom
- E_form (uncorrected): -2.60 eV/atom

No. 3
The following is a DFT calculation (PBE) of a geometry-optimized Mn4VNi15 structure.

Cell: 3.5600 3.5600 17.7918 Å, 90.00 90.00 90.00°
Space group P4/mmm (No. 123)
One atom of each set of equivalent atoms:
Mn (0.0000, 0.0000, 0.1002) (multiplicity 2)
Mn (0.0000, 0.0000, 0.2992) (multiplicity 2)
V (0.0000, 0.0000, 0.5000) (multiplicity 1)
Ni (0.0000, 0.5000, 0.0000) (multiplicity 2)
Ni (0.0000, 0.5000, 0.2003) (multiplicity 4)
Ni (0.0000, 0.5000, 0.4026) (multiplicity 4)
Ni (0.5000, 0.5000, 0.1003) (multiplicity 2)
Ni (0.5000, 0.5000, 0.3017) (multiplicity 2)
Ni (0.5000, 0.5000, 0.5000) (multiplicity 1)

Results
- Magnetization: 18.95 μB per formula unit
- Formation energy: -0.133 eV per atom
- Calculated total energy: -6.7586 eV per atom

No. 4
The following is a DFT calculation (PBE) of a geometry-optimized K2CaPtO4 structure.

Cell: 6.2523 14.1048 21.7744 Å, 90.00 90.00 90.00°
Space group Fddd (No. 70, origin choice 2)
One atom of each set of equivalent atoms:
K (0.1250, 0.1250, 0.3166) (multiplicity 16)
Ca (0.1250, 0.1250, 0.1250) (multiplicity 8)
Pt (0.1250, 0.1250, 0.6250) (multiplicity 8)
O (0.0972, 0.2771, 0.8754) (multiplicity 32)

Results
- Magnetization: 2.02 μB per formula unit
- Calculated total energy: -4.9830 eV per atom
- E_form (uncorrected): -1.22 eV/atom

No. 5
The following is a DFT calculation (PBE) of a geometry-optimized Ag2Ge2Pt structure.

Cell: 3.6876 3.6876 13.9873 Å, 90.00 90.00 90.00°
Space group I4/mmm (No. 139)
One atom of each set of equivalent atoms:
Ag (0.0000, 0.5000, 0.2500) (multiplicity 4)
Ge (0.0000, 0.0000, 0.0905) (multiplicity 4)
Pt (0.0000, 0.0000, 0.5000) (multiplicity 2)

Results
- Magnetization: 0.00 μB per formula unit
- Formation energy: 0.297 eV per atom
- E above lowest polymorph: 0.344 eV per atom
- Calculated total energy: -3.8991 eV per atom

No. 6
The following is a DFT calculation (PBE) of a geometry-optimized ZnGa5Rh3 structure.

Cell: 8.9056 9.1145 8.6424 Å, 90.00 108.82 90.00°
Space group C2/m (No. 12)
One atom of each set of equivalent atoms:
Zn (0.2439, 0.0000, 0.2486) (multiplicity 4)
Ga (0.0000, 0.2650, 0.0000) (multiplicity 4)
Ga (0.0067, 0.2678, 0.6694) (multiplicity 8)
Ga (0.2397, 0.0000, 0.5688) (multiplicity 4)
Ga (0.2457, 0.0000, 0.9254) (multiplicity 4)
Rh (0.0000, 0.0000, 0.0000) (multiplicity 2)
Rh (0.0000, 0.5000, 0.5000) (multiplicity 2)
Rh (0.0104, 0.5000, 0.1689) (multiplicity 4)
Rh (0.0106, 0.0000, 0.6709) (multiplicity 4)

Results
- Magnetization: 0.00 μB per formula unit
- Formation energy: -0.407 eV per atom
- Calculated total energy: -4.6803 eV per atom

Repeat the second record exactly.
The following is a DFT calculation (PBE) of a geometry-optimized RbAlPdF6 structure.

Cell: 5.4848 5.4848 5.9668 Å, 90.00 90.00 120.00°
Space group P312 (No. 149)
One atom of each set of equivalent atoms:
Rb (0.0000, 0.0000, 0.0000) (multiplicity 1)
Al (0.6667, 0.3333, 0.5000) (multiplicity 1)
Pd (0.3333, 0.6667, 0.5000) (multiplicity 1)
F (0.3993, 0.0504, 0.6766) (multiplicity 6)

Results
- Magnetization: 1.99 μB per formula unit
- E above lowest polymorph: 0.012 eV per atom
- Calculated total energy: -4.9503 eV per atom
- E_form (uncorrected): -2.60 eV/atom

- Which formula does entry 6 have?
  ZnGa5Rh3

- What is the calculated total energy in the second record?
  -4.9503 eV per atom